This record from Alexandria via LeMat-Bulk describes a relaxed CsRb2YF6 crystal. The functional is PBEsol. Values from VASP.

Cell and atoms, written as Quantum ESPRESSO input:
```
&SYSTEM
  ibrav = 0, nat = 10, ntyp = 4
/
ATOMIC_SPECIES
Y 88.91 Y.upf
F 19.00 F.upf
Rb 85.47 Rb.upf
Cs 132.91 Cs.upf
ATOMIC_POSITIONS crystal
Y 0.000 0.000 0.000
F 0.220 0.220 0.780
F 0.220 0.780 0.220
F 0.780 0.780 0.220
F 0.780 0.220 0.780
F 0.220 0.780 0.780
F 0.780 0.220 0.220
Rb 0.250 0.250 0.250
Rb 0.750 0.750 0.750
Cs 0.500 0.500 0.500
CELL_PARAMETERS angstrom
6.928 0.000 0.000
3.464 6.000 0.000
3.464 2.000 5.657
```

Results
Its density of states at the Fermi level is 0.0 states/eV/cell. Its crystal system is cubic. As for the uncorrected formation energy: -3244 meV/atom.